The following is a PBE+U calculation of a relaxed AcCoGe2O6 crystal, from the Alexandria database. Values from VASP.

Density   7.2 g/cm³
Electronic total energy   -0.246 Ha/atom

The structure in Quantum ESPRESSO input format:
```
&SYSTEM
  ibrav = 0, nat = 20, ntyp = 4
/
ATOMIC_SPECIES
Ac 227.00 Ac.upf
Co 58.93 Co.upf
Ge 72.64 Ge.upf
O 16.00 O.upf
CELL_PARAMETERS angstrom
5.895 -4.399 0.000
5.895 4.399 0.000
-2.095 0.000 4.719
ATOMIC_POSITIONS angstrom
Ac 4.324 2.572 3.539
Ac 5.371 -2.572 1.180
Co 5.371 0.642 1.180
Co 4.324 -0.642 3.539
Ge 2.855 0.735 0.101
Ge 1.807 -0.735 2.460
Ge 7.888 0.735 2.259
Ge 6.841 -0.735 4.618
O 0.343 0.336 3.012
O 2.092 2.074 4.645
O 1.391 -0.336 0.652
O 3.215 0.636 2.059
O 6.556 2.074 2.433
O 2.167 -0.636 4.419
O 7.528 0.636 0.300
O 3.140 -2.074 2.286
O 6.481 -0.636 2.660
O 8.305 0.336 4.066
O 7.603 -2.074 0.074
O 9.352 -0.336 1.707
```